No. 1
Mn2CoOs | meta-GGA SCAN | PBEsol geometry

Structure (CIF):
```
data_Mn2CoOs
_chemical_formula_sum 'Mn2 Co1 Os1'
_symmetry_space_group_name_H-M 'P 1'
_symmetry_Int_Tables_number 1
_cell_length_a 2.5390
_cell_length_b 4.8224
_cell_length_c 4.7142
_cell_angle_alpha 117.49
_cell_angle_beta 100.05
_cell_angle_gamma 100.69
loop_
_symmetry_equiv_pos_as_xyz
'x,y,z'
loop_
_atom_site_label
_atom_site_type_symbol
_atom_site_fract_x
_atom_site_fract_y
_atom_site_fract_z
Co1 Co 0.0000 0.5000 0.0000
Os1 Os 0.5000 0.0000 0.0000
Mn1 Mn 0.0000 0.0000 0.5000
Mn2 Mn 0.5000 0.5000 0.5000
```

Summary:
total moment: 7.5 μB per formula unit
formation enthalpy at 0 K: 0.056 eV per atom
N(E_F): 3.537 states/eV/f.u.
symmetry: C2/m

No. 2
Mn2Si | meta-GGA SCAN | PBEsol geometry

Structure (CIF):
```
data_Mn2Si
_chemical_formula_sum 'Mn2 Si1'
_symmetry_space_group_name_H-M 'P 1'
_symmetry_Int_Tables_number 1
_cell_length_a 2.7083
_cell_length_b 2.7083
_cell_length_c 4.6720
_cell_angle_alpha 106.85
_cell_angle_beta 106.85
_cell_angle_gamma 90.00
loop_
_symmetry_equiv_pos_as_xyz
'x,y,z'
loop_
_atom_site_label
_atom_site_type_symbol
_atom_site_fract_x
_atom_site_fract_y
_atom_site_fract_z
Mn1 Mn 0.3346 0.3346 0.6691
Mn2 Mn 0.6654 0.6654 0.3309
Si1 Si 0.0000 0.0000 0.0000
```

Summary:
uncorrected energy: -15.7803 eV per atom
total moment: 0.0 μB per formula unit
N(E_F): 1.812 states/eV/f.u.
symmetry: I4/mmm

No. 3
TaSi2Br | meta-GGA SCAN | PBEsol geometry

Structure (CIF):
```
data_TaSi2Br
_chemical_formula_sum 'Ta2 Si4 Br2'
_symmetry_space_group_name_H-M 'P 1'
_symmetry_Int_Tables_number 1
_cell_length_a 6.1544
_cell_length_b 6.1544
_cell_length_c 7.0230
_cell_angle_alpha 115.99
_cell_angle_beta 115.99
_cell_angle_gamma 90.00
loop_
_symmetry_equiv_pos_as_xyz
'x,y,z'
loop_
_atom_site_label
_atom_site_type_symbol
_atom_site_fract_x
_atom_site_fract_y
_atom_site_fract_z
Si1 Si 0.6250 0.6583 0.7500
Si2 Si 0.1250 0.0917 0.7500
Si3 Si 0.3417 0.8750 0.2500
Si4 Si 0.9083 0.3750 0.2500
Br1 Br 0.7500 0.2500 0.5000
Br2 Br 0.5000 0.5000 0.0000
Ta1 Ta 0.2500 0.7500 0.5000
Ta2 Ta 0.0000 0.0000 0.0000
```

Summary:
energy above the lowest structure with this stoichiometry: 866 meV per atom
total moment: 0.0 μB per formula unit
N(E_F): 2.450 states/eV/f.u.
symmetry: I-42d

No. 4
Ca3BCNCl2 | meta-GGA SCAN | PBEsol geometry

Structure (CIF):
```
data_Ca3BCNCl2
_chemical_formula_sum 'Ca12 B4 C4 N4 Cl8'
_symmetry_space_group_name_H-M 'P 1'
_symmetry_Int_Tables_number 1
_cell_length_a 3.7904
_cell_length_b 11.0716
_cell_length_c 13.8495
_cell_angle_alpha 90.00
_cell_angle_beta 90.00
_cell_angle_gamma 90.00
loop_
_symmetry_equiv_pos_as_xyz
'x,y,z'
loop_
_atom_site_label
_atom_site_type_symbol
_atom_site_fract_x
_atom_site_fract_y
_atom_site_fract_z
N1 N 0.2500 0.4819 0.7739
N2 N 0.7500 0.9819 0.7261
N3 N 0.7500 0.5181 0.2261
N4 N 0.2500 0.0181 0.2739
B1 B 0.7500 0.0980 0.7576
B2 B 0.2500 0.5980 0.7424
B3 B 0.2500 0.9020 0.2424
B4 B 0.7500 0.4020 0.2576
Ca1 Ca 0.2500 0.5696 0.1346
Ca2 Ca 0.7500 0.4304 0.8654
Ca3 Ca 0.7500 0.8581 0.0979
Ca4 Ca 0.7500 0.7972 0.8093
Ca5 Ca 0.2500 0.3581 0.4021
Ca6 Ca 0.7500 0.6419 0.5979
Ca7 Ca 0.7500 0.0696 0.3654
Ca8 Ca 0.2500 0.2028 0.1907
Ca9 Ca 0.2500 0.2972 0.6907
Ca10 Ca 0.2500 0.9304 0.6346
Ca11 Ca 0.2500 0.1419 0.9021
Ca12 Ca 0.7500 0.7028 0.3093
C1 C 0.2500 0.7814 0.2017
C2 C 0.7500 0.2186 0.7983
C3 C 0.7500 0.2814 0.2983
C4 C 0.2500 0.7186 0.7017
Cl1 Cl 0.7500 0.3952 0.5585
Cl2 Cl 0.7500 0.8590 0.4863
Cl3 Cl 0.2500 0.3590 0.0137
Cl4 Cl 0.7500 0.6410 0.9863
Cl5 Cl 0.7500 0.1048 0.0585
Cl6 Cl 0.2500 0.1410 0.5137
Cl7 Cl 0.2500 0.6048 0.4415
Cl8 Cl 0.2500 0.8952 0.9415
```

Summary:
uncorrected energy: -10.5466 eV per atom
total moment: 0.0 μB per formula unit
N(E_F): 0.000 states/eV/f.u.
symmetry: Pnma